A relaxed In2SiAg2S6 crystal, computed with PBE-GGA.

Cell lengths 7.171, 7.171, 12.332 Å; angles 106.59, 106.59, 60.87 degrees
Fractional positions:
In  0.061  0.939  0.500
In  0.080  0.274  0.801
In  0.274  0.080  0.301
In  0.939  0.061  0.000
Si  0.160  0.703  0.744
Si  0.703  0.160  0.244
Ag  0.156  0.565  0.152
Ag  0.565  0.156  0.652
Ag  0.570  0.751  0.998
Ag  0.751  0.570  0.498
S  0.115  0.609  0.561
S  0.283  0.821  0.114
S  0.350  0.412  0.816
S  0.352  0.876  0.796
S  0.409  0.931  0.485
S  0.412  0.350  0.316
S  0.609  0.115  0.061
S  0.821  0.283  0.614
S  0.854  0.870  0.799
S  0.870  0.854  0.299
S  0.876  0.352  0.296
S  0.931  0.409  0.985

* SG: Cc (9)
* magnetization: 0.00 μB/f.u.
* energy: -4.25 eV/atom
* calculated density: 4.2 Mg/m³



A relaxed CdSiW2 crystal, computed with PBE-GGA.

Cell lengths 4.886, 4.886, 4.886 Å; angles 131.11, 131.11, 71.65 degrees
Fractional positions:
Cd  0.000  0.000  0.000
Si  0.250  0.750  0.500
W  0.500  0.500  0.000
W  0.750  0.250  0.500

* SG: I-4m2 (119)
* magnetization: 0.00 μB/f.u.
* energy: -7.49 eV/atom
* D(E_F): 2.3 states/eV per cell
* calculated density: 13.0 Mg/m³



A relaxed LiAg8Sn2 crystal, computed with PBE-GGA.

Cell lengths 7.703, 7.703, 7.703 Å; angles 148.77, 112.36, 76.38 degrees
Fractional positions:
Li  0.000  0.000  0.000
Ag  0.084  0.837  0.246
Ag  0.169  0.669  0.500
Ag  0.235  0.500  0.735
Ag  0.409  0.163  0.246
Ag  0.591  0.837  0.754
Ag  0.765  0.500  0.265
Ag  0.831  0.331  0.500
Ag  0.916  0.163  0.754
Sn  0.349  0.349  0.000
Sn  0.651  0.651  0.000

* SG: Immm (71)
* magnetization: 0.00 μB/f.u.
* energy: -2.99 eV/atom
* D(E_F): 3.1 states/eV per cell
* calculated density: 8.5 Mg/m³



A relaxed InSiW crystal, computed with PBE-GGA.

Cell lengths 4.535, 4.535, 2.923 Å; angles 90.00, 90.00, 120.00 degrees
Fractional positions:
In  0.000  0.000  0.000
Si  0.667  0.333  0.500
W  0.333  0.667  0.500

* SG: P-6m2 (187)
* magnetization: 0.00 μB/f.u.
* energy: -6.57 eV/atom
* D(E_F): 0.7 states/eV per cell
* calculated density: 10.4 Mg/m³



A relaxed YAl3Au3 crystal, computed with PBE-GGA.

Cell lengths 6.925, 6.925, 6.925 Å; angles 90.00, 90.00, 90.00 degrees
Fractional positions:
Y  0.000  0.000  0.000
Y  0.500  0.500  0.500
Al  0.000  0.250  0.500
Al  0.000  0.750  0.500
Al  0.250  0.500  0.000
Al  0.500  0.000  0.250
Al  0.500  0.000  0.750
Al  0.750  0.500  0.000
Au  0.000  0.500  0.250
Au  0.000  0.500  0.750
Au  0.250  0.000  0.500
Au  0.500  0.250  0.000
Au  0.500  0.750  0.000
Au  0.750  0.000  0.500

* SG: Pm-3n (223)
* magnetization: 0.00 μB/f.u.
* energy: -4.11 eV/atom
* D(E_F): 7.2 states/eV per cell
* calculated density: 7.6 Mg/m³



A relaxed NaNpSe2 crystal, computed with PBE-GGA.

Cell lengths 7.622, 7.622, 7.622 Å; angles 31.60, 31.60, 31.60 degrees
Fractional positions:
Na  0.000  0.000  0.000
Np  0.829  0.829  0.829
Se  0.237  0.237  0.237
Se  0.420  0.420  0.420

* SG: R3m (160)
* magnetization: 4.00 μB/f.u.
* energy: -6.48 eV/atom
* D(E_F): 10.5 states/eV per cell
* calculated density: 6.4 Mg/m³



A relaxed Dy2Ho8Th3 crystal, computed with PBE-GGA.

Cell lengths 8.710, 8.710, 6.587 Å; angles 98.11, 98.11, 63.99 degrees
Fractional positions:
Dy  0.214  0.214  0.292
Dy  0.786  0.786  0.708
Ho  0.196  0.196  0.785
Ho  0.209  0.566  0.065
Ho  0.418  0.418  0.628
Ho  0.434  0.791  0.935
Ho  0.566  0.209  0.065
Ho  0.582  0.582  0.372
Ho  0.791  0.434  0.935
Ho  0.804  0.804  0.215
Th  0.000  0.000  0.000
Th  0.169  0.831  0.500
Th  0.831  0.169  0.500

* SG: C2/m (12)
* magnetization: 0.00 μB/f.u.
* energy: -4.95 eV/atom
* D(E_F): 20.8 states/eV per cell
* calculated density: 8.8 Mg/m³



A relaxed Pm2TeC crystal, computed with PBE-GGA.

Cell lengths 7.580, 7.580, 7.580 Å; angles 30.29, 30.29, 30.29 degrees
Fractional positions:
Pm  0.231  0.231  0.231
Pm  0.769  0.769  0.769
Te  0.000  0.000  0.000
C  0.500  0.500  0.500

* SG: R-3m (166)
* magnetization: 0.00 μB/f.u.
* energy: -6.24 eV/atom
* D(E_F): 0.9 states/eV per cell
* calculated density: 7.3 Mg/m³



A relaxed Y8As3PSe3 crystal, computed with PBE-GGA.

Cell lengths 8.164, 8.164, 8.164 Å; angles 59.91, 59.91, 59.91 degrees
Fractional positions:
Y  0.237  0.757  0.757
Y  0.243  0.243  0.763
Y  0.243  0.763  0.243
Y  0.246  0.246  0.246
Y  0.754  0.754  0.754
Y  0.757  0.237  0.757
Y  0.757  0.757  0.237
Y  0.763  0.243  0.243
As  0.000  0.000  0.500
As  0.000  0.500  0.000
As  0.500  0.000  0.000
P  0.000  0.000  0.000
Se  0.000  0.500  0.500
Se  0.500  0.000  0.500
Se  0.500  0.500  0.000

* SG: R-3m (166)
* magnetization: 0.00 μB/f.u.
* energy: -7.02 eV/atom
* D(E_F): 6.8 states/eV per cell
* calculated density: 5.2 Mg/m³



A relaxed VRe3I crystal, computed with PBE-GGA.

Cell lengths 4.593, 4.593, 4.593 Å; angles 90.00, 90.00, 90.00 degrees
Fractional positions:
V  0.000  0.000  0.000
Re  0.000  0.000  0.500
Re  0.000  0.500  0.000
Re  0.500  0.000  0.000
I  0.500  0.500  0.500

* SG: Pm-3m (221)
* magnetization: 0.52 μB/f.u.
* energy: -7.55 eV/atom
* D(E_F): 5.5 states/eV per cell
* calculated density: 12.6 Mg/m³



A relaxed Tb3NdDy2Tm6 crystal, computed with PBE-GGA.

Cell lengths 6.116, 6.116, 11.661 Å; angles 95.00, 95.00, 119.96 degrees
Fractional positions:
Tb  0.000  0.000  0.000
Tb  0.333  0.667  0.000
Tb  0.667  0.333  0.000
Nd  0.500  0.500  0.500
Dy  0.167  0.833  0.500
Dy  0.833  0.167  0.500
Tm  0.082  0.416  0.249
Tm  0.250  0.250  0.751
Tm  0.416  0.082  0.249
Tm  0.584  0.918  0.751
Tm  0.750  0.750  0.249
Tm  0.918  0.584  0.751

* SG: C2/m (12)
* magnetization: 0.00 μB/f.u.
* energy: -4.54 eV/atom
* D(E_F): 15.5 states/eV per cell
* calculated density: 8.7 Mg/m³



A relaxed KSrHg2Rh crystal, computed with PBE-GGA.

Cell lengths 5.467, 5.467, 5.432 Å; angles 90.00, 90.00, 90.00 degrees
Fractional positions:
K  0.000  0.000  0.000
Sr  0.500  0.500  0.000
Hg  0.000  0.500  0.500
Hg  0.500  0.000  0.500
Rh  0.500  0.500  0.500

* SG: P4/mmm (123)
* magnetization: 0.00 μB/f.u.
* energy: -2.33 eV/atom
* D(E_F): 3.2 states/eV per cell
* calculated density: 6.5 Mg/m³